No. 1
A plane-wave DFT calculation with GGA-PBE was carried out for an optimized crystal structure of MgZn2Rh2.

It has space group P4/mbm (No. 127), with a = 6.9879 Å, b = 6.9879 Å, c = 3.0851 Å, α = 90.00°, β = 90.00° and γ = 90.00°. Symmetry generates all atoms from Mg at (0.0000, 0.0000, 0.0000), Zn at (0.1293, 0.3707, 0.0000) and Rh at (0.1679, 0.6679, 0.5000).

The calculation puts the calculated formation energy at -37.7 kJ per mole of atoms. As for the relative energy among the computed polymorphs: 0 meV/atom. The energy comes out at -4.16 eV/atom.

---

No. 2
A plane-wave DFT calculation with GGA-PBE was carried out for an optimized crystal structure of MgZn2Rh.

It has space group F-43m (No. 216), with a = 6.1983 Å, b = 6.1983 Å, c = 6.1983 Å, α = 90.00°, β = 90.00° and γ = 90.00°. Symmetry generates all atoms from Mg at (0.0000, 0.0000, 0.0000), Zn at (0.0000, 0.0000, 0.5000), Zn at (0.2500, 0.2500, 0.2500) and Rh at (0.2500, 0.2500, 0.7500).

The calculation puts the calculated formation energy at -28.0 kJ per mole of atoms. The energy comes out at -3.16 eV/atom.

---

No. 3
A plane-wave DFT calculation with GGA-PBE was carried out for an optimized crystal structure of MgZn4Rh.

It has space group F-43m (No. 216), with a = 7.0726 Å, b = 7.0726 Å, c = 7.0726 Å, α = 90.00°, β = 90.00° and γ = 90.00°. Symmetry generates all atoms from Mg at (0.0000, 0.0000, 0.0000), Zn at (0.1244, 0.1244, 0.3756) and Rh at (0.2500, 0.2500, 0.7500).

The calculation puts the calculated formation energy at -22.4 kJ per mole of atoms. As for the relative energy among the computed polymorphs: 0 meV/atom. The energy comes out at -2.57 eV/atom.

---

No. 4
A plane-wave DFT calculation with GGA-PBE was carried out for an optimized crystal structure of MgZnRh3.

It has space group Pm-3m (No. 221), with a = 4.5580 Å, b = 4.5580 Å, c = 4.5580 Å, α = 90.00°, β = 90.00° and γ = 90.00°. Symmetry generates all atoms from Mg at (0.0000, 0.0000, 0.0000), Zn at (0.5000, 0.5000, 0.5000) and Rh at (0.0000, 0.5000, 0.5000).

The calculation puts the calculated formation energy at 64.0 kJ per mole of atoms. As for the relative energy among the computed polymorphs: 0 meV/atom. The energy comes out at -4.32 eV/atom.